Here is an optimized crystal structure of Cs2AlCoF6 from Alexandria via LeMat-Bulk. Energies are from GGA+U.

Properties
The total magnetization is 2.00 μB per formula unit. The calculation puts the density at 4.7 Mg/m³. The value obtained for the total energy is -0.1800 Ha/atom.

Cell lengths 6.3794, 6.3794, 6.0506 Å; angles 58.19, 58.19, 90.00 degrees
Closest atoms and distances in Å follow each position.
Positions (direct):
Cs1 0.7500 0.2500 0.5000  12 F 3.05-3.19
Cs2 0.2500 0.7500 0.5000  12 F 3.05-3.19
Co1 0.0000 0.0000 0.0000  2 F 2.13
Al1 0.5000 0.5000 0.0000  6 F 1.84-1.90
F1 0.2639 0.2639 0.4722  1 Al 1.90, 1 Co 2.13
F2 0.7361 0.7361 0.5278  1 Al 1.90, 1 Co 2.13
F3 0.2962 0.2962 0.0000  1 Al 1.84
F4 0.7038 0.7038 0.0000  1 Al 1.84
F5 0.7038 0.2962 0.0000  1 Al 1.84
F6 0.2962 0.7038 0.0000  1 Al 1.84